VASP calculation (GGA-PBE) on an optimized crystal structure of SmGePd4.

Computed properties:
ΔE to the lowest computed polymorph, meV per atom: 0
Calculated total energy, eV per atom: -5.6930
Total magnetization, μB/atom: 0.0000
Space group: Pmma, No. 51

Cell: 7.747 3.963 7.031 Å, 90.00 90.00 90.00°
Sites, in units of the cell vectors:
1 Sm 0.250 0.000 0.140
2 Sm 0.750 0.000 0.860
3 Ge 0.250 0.000 0.716
4 Ge 0.750 0.000 0.284
5 Pd 0.000 0.000 0.500
6 Pd 0.055 0.500 0.806
7 Pd 0.250 0.500 0.451
8 Pd 0.445 0.500 0.806
9 Pd 0.500 0.000 0.500
10 Pd 0.555 0.500 0.194
11 Pd 0.750 0.500 0.549
12 Pd 0.945 0.500 0.194



VASP calculation (GGA-PBE) on an optimized crystal structure of MnTlZn2.

Computed properties:
ΔE to the lowest computed polymorph, meV per atom: 56
Calculated total energy, eV per atom: -3.2561
Total magnetization, μB/atom: 0.8090
Space group: P4/mmm, No. 123

Cell: 4.067 4.067 4.144 Å, 90.00 90.00 90.00°
Sites, in units of the cell vectors:
1 Mn 0.000 0.000 0.000
2 Tl 0.500 0.500 0.000
3 Zn 0.000 0.500 0.500
4 Zn 0.500 0.000 0.500



VASP calculation (GGA-PBE) on an optimized crystal structure of ScCoSi2.

Computed properties:
Calculated total energy, eV per atom: -6.4166
ΔE_f (raw), meV/atom: -346
Total magnetization, μB/atom: 0.1155
Space group: Pmm2, No. 25

Cell: 3.138 4.133 4.696 Å, 90.00 90.00 90.00°
Sites, in units of the cell vectors:
1 Sc 0.000 0.000 0.000
2 Co 0.500 0.500 0.251
3 Si 0.500 0.000 0.481
4 Si 0.500 0.500 0.756



VASP calculation (GGA-PBE) on an optimized crystal structure of Mg2GeRhO6.

Computed properties:
Calculated total energy, eV per atom: -5.9075
ΔE_f (raw), meV/atom: -1417
Total magnetization, μB/atom: 0.1050
Space group: P4mm, No. 99

Cell: 5.263 5.263 4.584 Å, 90.00 90.00 90.00°
Sites, in units of the cell vectors:
1 Mg 0.000 0.500 0.000
2 Mg 0.500 0.000 0.000
3 Ge 0.000 0.000 0.646
4 Rh 0.500 0.500 0.678
5 O 0.000 0.000 0.269
6 O 0.241 0.241 0.798
7 O 0.241 0.759 0.798
8 O 0.500 0.500 0.270
9 O 0.759 0.241 0.798
10 O 0.759 0.759 0.798